P:
A geometry-optimized CuNi6W structure. Source: Alexandria via LeMat-Bulk, functional PBE.

The volume comes out at 11.54 Å³/atom. For the density of states at the Fermi level, the calculation gives 1.074 states/eV per atom. As for the crystal system: tetragonal. For the spin magnetization, the calculation gives 0.000 Bohr magnetons per cell.

The space group is P4/mmm (No. 123) and the conventional cell measures 3.6102, 3.6102 and 7.0802 Å, with angles of 90.00, 90.00 and 90.00 degrees. The asymmetric unit holds Cu at (0.0000, 0.0000, 0.0000), Ni at (0.0000, 0.5000, 0.2498), Ni at (0.5000, 0.5000, 0.0000), Ni at (0.5000, 0.5000, 0.5000) and W at (0.0000, 0.0000, 0.5000).


Q:
A geometry-optimized CuNi6W structure. Source: Alexandria via LeMat-Bulk, functional PBE.

The volume comes out at 11.55 Å³/atom. For the density of states at the Fermi level, the calculation gives 1.038 states/eV per atom. As for the crystal system: orthorhombic. For the spin magnetization, the calculation gives 1.035 Bohr magnetons per cell.

The space group is Cmmm (No. 65) and the conventional cell measures 7.1745, 10.1428 and 10.1597 Å, with angles of 90.00, 90.00 and 90.00 degrees. The asymmetric unit holds Cu at (0.0000, 0.0000, 0.2464), Cu at (0.0000, 0.2498, 0.0000), Ni at (0.0000, 0.0000, 0.0000), Ni at (0.0000, 0.0000, 0.5000), Ni at (0.0000, 0.2503, 0.2508), Ni at (0.0000, 0.5000, 0.0000), Ni at (0.0000, 0.5000, 0.5000), Ni at (0.2492, 0.1248, 0.3752), Ni at (0.2494, 0.3749, 0.1252), W at (0.0000, 0.2537, 0.5000) and W at (0.0000, 0.5000, 0.2414).


Which is the most stable structure? P is the most stable.